# 1
Below is a relaxed structure of Cs2HoS3, with properties calculated at the PBE level.

- raw formation energy (eV per atom) = -1.256
- VASP energy (eV/atom) = -4.37
- mass density (g cm⁻³) = 4.5
- DOS(E_F) (states/eV/cell) = 6.76
- total magnetization (μB/f.u.) = 0.90

```
Cs2HoS3
1.0
-1.553 2.156 -3.063
-2.478 -5.135 -2.359
-4.455 2.710 6.850
Cs S Ho
2 3 1
direct
0.315 0.815 0.630 Cs
0.685 0.185 0.370 Cs
0.000 0.000 0.000 S
0.384 0.384 0.768 S
0.616 0.616 0.232 S
0.000 0.500 0.000 Ho
```

=====

# 2
Below is a relaxed structure of CsHoS2, with properties calculated at the PBE level.

- raw formation energy (eV per atom) = -1.832
- VASP energy (eV/atom) = -5.25
- E above lowest polymorph (meV per atom) = 2.2
- mass density (g cm⁻³) = 5.2
- DOS(E_F) (states/eV/cell) = 0.00
- total magnetization (μB/f.u.) = 0.00

```
CsHoS2
1.0
8.396 -0.001 -0.001
7.401 3.965 -0.001
7.401 1.857 3.503
S Ho Cs
2 1 1
direct
0.227 0.227 0.227 S
0.773 0.773 0.773 S
0.500 0.500 0.500 Ho
0.000 0.000 0.000 Cs
```

=====

# 3
Below is a relaxed structure of CsHo2S3, with properties calculated at the PBE level.

- raw formation energy (eV per atom) = -1.761
- VASP energy (eV/atom) = -5.49
- E above lowest polymorph (meV per atom) = 0.0
- mass density (g cm⁻³) = 5.8
- DOS(E_F) (states/eV/cell) = 4.64
- total magnetization (μB/f.u.) = 0.00

```
CsHo2S3
1.0
7.271 0.000 0.000
0.000 7.120 -0.669
0.000 -2.981 6.500
S Ho Cs
6 4 2
direct
0.250 0.999 0.500 S
0.250 0.500 0.999 S
0.750 0.500 0.001 S
0.250 0.000 0.000 S
0.750 0.000 0.000 S
0.750 0.001 0.500 S
0.500 0.167 0.833 Ho
0.000 0.833 0.167 Ho
0.500 0.833 0.167 Ho
0.000 0.167 0.833 Ho
0.250 0.500 0.500 Cs
0.750 0.500 0.500 Cs
```

=====

# 4
Below is a relaxed structure of Cs5HoS4, with properties calculated at the PBE level.

- raw formation energy (eV per atom) = -1.186
- VASP energy (eV/atom) = -3.72
- mass density (g cm⁻³) = 3.9
- total magnetization (μB/f.u.) = 0.00

```
Cs5HoS4
1.0
4.494 0.000 0.000
0.000 9.078 -0.720
-2.247 -2.047 10.141
S Ho Cs
4 1 5
direct
0.359 0.908 0.719 S
0.641 0.092 0.281 S
0.999 0.203 0.998 S
0.001 0.797 0.002 S
0.500 0.000 0.000 Ho
0.841 0.652 0.682 Cs
0.500 0.500 0.000 Cs
0.833 0.142 0.667 Cs
0.167 0.858 0.333 Cs
0.159 0.348 0.318 Cs
```

=====

# 5
Below is a relaxed structure of CsHoS2, with properties calculated at the PBE level.

- raw formation energy (eV per atom) = -1.834
- VASP energy (eV/atom) = -5.26
- E above lowest polymorph (meV per atom) = 0.0
- mass density (g cm⁻³) = 5.2
- DOS(E_F) (states/eV/cell) = 0.00
- total magnetization (μB/f.u.) = 0.00

```
CsHoS2
1.0
4.086 0.000 0.000
-2.043 3.538 0.000
0.000 0.000 16.098
Ho S Cs
2 4 2
direct
0.000 0.000 0.500 Ho
0.000 0.000 0.000 Ho
0.333 0.667 0.909 S
0.667 0.333 0.409 S
0.667 0.333 0.091 S
0.333 0.667 0.591 S
0.667 0.333 0.750 Cs
0.333 0.667 0.250 Cs
```

=====

# 6
Below is a relaxed structure of CsHoS2, with properties calculated at the PBE level.

- raw formation energy (eV per atom) = -1.817
- VASP energy (eV/atom) = -5.24
- E above lowest polymorph (meV per atom) = 17.5
- mass density (g cm⁻³) = 5.1
- DOS(E_F) (states/eV/cell) = 0.00
- total magnetization (μB/f.u.) = 0.00

```
CsHoS2
1.0
-2.322 -0.878 3.233
-0.153 -3.817 1.422
5.442 0.020 6.483
S Ho Cs
2 1 1
direct
0.274 0.274 0.179 S
0.061 0.061 0.818 S
0.667 0.667 0.999 Ho
0.498 0.498 0.505 Cs
```

=====

# 7
Below is a relaxed structure of Cs3HoS3, with properties calculated at the PBE level.

- raw formation energy (eV per atom) = -1.464
- VASP energy (eV/atom) = -4.25
- E above lowest polymorph (meV per atom) = 11.1
- mass density (g cm⁻³) = 3.9
- DOS(E_F) (states/eV/cell) = 0.00
- total magnetization (μB/f.u.) = 0.00

```
Cs3HoS3
1.0
-7.888 3.624 0.347
-0.552 -5.071 -7.532
-4.848 -11.316 7.974
Ho Cs S
4 12 12
direct
0.606 0.660 0.434 Ho
0.106 0.160 0.066 Ho
0.894 0.840 0.934 Ho
0.394 0.340 0.566 Ho
0.283 0.616 0.110 Cs
0.636 0.026 0.125 Cs
0.213 0.042 0.326 Cs
0.787 0.958 0.674 Cs
0.713 0.542 0.174 Cs
0.783 0.116 0.390 Cs
0.717 0.384 0.890 Cs
0.136 0.526 0.375 Cs
0.364 0.974 0.875 Cs
0.287 0.458 0.826 Cs
0.864 0.474 0.625 Cs
0.217 0.884 0.610 Cs
0.019 0.702 0.811 S
0.965 0.132 0.905 S
0.400 0.269 0.043 S
0.981 0.298 0.189 S
0.535 0.368 0.405 S
0.481 0.798 0.311 S
0.600 0.731 0.957 S
0.900 0.769 0.457 S
0.465 0.632 0.595 S
0.035 0.868 0.095 S
0.100 0.231 0.543 S
0.519 0.202 0.689 S
```

=====

# 8
Below is a relaxed structure of Cs3HoS3, with properties calculated at the PBE level.

- raw formation energy (eV per atom) = -1.475
- VASP energy (eV/atom) = -4.26
- E above lowest polymorph (meV per atom) = 0.0
- mass density (g cm⁻³) = 3.8
- DOS(E_F) (states/eV/cell) = 0.00
- total magnetization (μB/f.u.) = 0.00

```
Cs3HoS3
1.0
-4.760 -4.609 -5.691
8.527 0.267 -1.873
0.527 -6.110 5.970
S Ho Cs
6 2 6
direct
0.904 0.904 0.173 S
0.839 0.555 0.729 S
0.161 0.445 0.271 S
0.445 0.161 0.271 S
0.096 0.096 0.827 S
0.555 0.839 0.729 S
0.173 0.173 0.143 Ho
0.827 0.827 0.857 Ho
0.746 0.254 0.000 Cs
0.254 0.746 0.000 Cs
0.185 0.815 0.500 Cs
0.624 0.624 0.360 Cs
0.376 0.376 0.640 Cs
0.815 0.185 0.500 Cs
```

=====

Q: What is the formula in the seventh record?
A: Cs3HoS3

=====

Q: Which of these has the highest mass density?
A: CsHo2S3

=====

What did the fifth record say?
Below is a relaxed structure of CsHoS2, with properties calculated at the PBE level.

- raw formation energy (eV per atom) = -1.834
- VASP energy (eV/atom) = -5.26
- E above lowest polymorph (meV per atom) = 0.0
- mass density (g cm⁻³) = 5.2
- DOS(E_F) (states/eV/cell) = 0.00
- total magnetization (μB/f.u.) = 0.00

```
CsHoS2
1.0
4.086 0.000 0.000
-2.043 3.538 0.000
0.000 0.000 16.098
Ho S Cs
2 4 2
direct
0.000 0.000 0.500 Ho
0.000 0.000 0.000 Ho
0.333 0.667 0.909 S
0.667 0.333 0.409 S
0.667 0.333 0.091 S
0.333 0.667 0.591 S
0.667 0.333 0.750 Cs
0.333 0.667 0.250 Cs
```